This record from Alexandria describes crystalline La12Pr6Mg at its relaxed geometry. The functional is PBE.

Output
- DOS at the Fermi energy (states/eV/atom) = 1.63
- total moment (μB/f.u.) = 0.00
- space-group type = R-3m, No. 166
- calculated formation energy (eV/atom) = 0.1056

abc: 9.010 9.010 9.010
angles: 98.76 98.76 98.76
Atoms (fractional coordinates):
1 La 0.582 0.168 0.582
2 La 0.418 0.832 0.418
3 La 0.582 0.582 0.168
4 La 0.000 0.261 0.739
5 La 0.418 0.418 0.832
6 La 0.000 0.739 0.261
7 La 0.739 0.261 0.000
8 La 0.168 0.582 0.582
9 La 0.261 0.000 0.739
10 La 0.261 0.739 0.000
11 La 0.739 0.000 0.261
12 La 0.832 0.418 0.418
13 Pr 0.408 0.138 0.138
14 Pr 0.138 0.138 0.408
15 Pr 0.138 0.408 0.138
16 Pr 0.592 0.862 0.862
17 Pr 0.862 0.592 0.862
18 Pr 0.862 0.862 0.592
19 Mg 0.000 0.000 0.000

***

This record from Alexandria describes crystalline CoHBrN at its relaxed geometry. The functional is PBE.

Output
- DOS at the Fermi energy (states/eV/atom) = 0.44
- relative energy among the computed polymorphs (eV/atom) = 0.000
- total moment (μB/f.u.) = 0.00
- space-group type = Cm, No. 8

abc: 6.248 3.131 5.420
angles: 90.00 91.34 90.00
Atoms (fractional coordinates):
1 Br 0.542 0.500 0.198
2 Br 0.542 0.000 0.698
3 N 0.140 0.500 0.854
4 N 0.140 0.000 0.354
5 H 0.975 0.500 0.849
6 H 0.975 0.000 0.349
7 Co 0.269 0.500 0.524
8 Co 0.269 0.000 0.024

***

This record from Alexandria describes crystalline La3PuPa2As6 at its relaxed geometry. The functional is PBE.

Output
- DOS at the Fermi energy (states/eV/atom) = 1.68
- total moment (μB/f.u.) = 6.26
- space-group type = C2/m, No. 12
- calculated formation energy (eV/atom) = -1.3103

abc: 7.315 7.315 7.379
angles: 99.51 99.51 119.98
Atoms (fractional coordinates):
1 As 0.738 0.738 0.231
2 As 0.262 0.262 0.769
3 As 0.416 0.077 0.231
4 As 0.584 0.923 0.769
5 As 0.077 0.416 0.231
6 As 0.923 0.584 0.769
7 La 0.165 0.835 0.500
8 La 0.835 0.165 0.500
9 La 0.500 0.500 0.500
10 Pa 0.667 0.333 0.000
11 Pa 0.333 0.667 0.000
12 Pu 0.000 0.000 0.000

***

This record from Alexandria describes crystalline SmYPa2N4 at its relaxed geometry. The functional is PBE.

Output
- DOS at the Fermi energy (states/eV/atom) = 0.52
- total moment (μB/f.u.) = 0.00
- space-group type = P2/m, No. 10
- energy relative to the elements, uncorrected (eV/atom) = -1.63

abc: 3.517 6.105 6.088
angles: 109.56 90.00 90.00
Atoms (fractional coordinates):
1 Pa 0.500 0.000 0.500
2 Pa 0.000 0.500 0.500
3 N 0.000 0.763 0.273
4 N 0.500 0.749 0.732
5 N 0.500 0.251 0.268
6 N 0.000 0.237 0.727
7 Y 0.000 0.000 0.000
8 Sm 0.500 0.500 0.000

***

This record from Alexandria describes crystalline PrBi2Sb2Pd7 at its relaxed geometry. The functional is PBE.

Output
- DOS at the Fermi energy (states/eV/atom) = 0.49
- total moment (μB/f.u.) = 0.00
- space-group type = C2/m, No. 12
- energy relative to the elements, uncorrected (eV/atom) = -0.42

abc: 4.155 4.155 15.335
angles: 85.48 85.48 89.86
Atoms (fractional coordinates):
1 Pr 0.000 0.000 0.000
2 Sb 0.427 0.427 0.252
3 Sb 0.573 0.573 0.748
4 Pd 0.365 0.365 0.425
5 Pd 0.458 0.958 0.143
6 Pd 0.042 0.542 0.857
7 Pd 0.500 0.500 0.000
8 Pd 0.542 0.042 0.857
9 Pd 0.635 0.635 0.575
10 Pd 0.958 0.458 0.143
11 Bi 0.127 0.127 0.592
12 Bi 0.873 0.873 0.408

***

This record from Alexandria describes crystalline Tl2IrBr4Cl2 at its relaxed geometry. The functional is PBE.

Output
- DOS at the Fermi energy (states/eV/atom) = 0.92
- total moment (μB/f.u.) = 0.98
- space-group type = C2/m, No. 12
- energy relative to the elements, uncorrected (eV/atom) = -0.60

abc: 7.546 7.144 7.144
angles: 62.15 58.91 58.91
Atoms (fractional coordinates):
1 Cl 0.784 0.764 0.764
2 Cl 0.216 0.236 0.236
3 Br 0.297 0.732 0.209
4 Br 0.703 0.268 0.791
5 Br 0.297 0.209 0.732
6 Br 0.703 0.791 0.268
7 Tl 0.773 0.249 0.249
8 Tl 0.227 0.751 0.751
9 Ir 0.500 0.000 0.000

***

This record from Alexandria describes crystalline Pm3Dy6Ho2Mg at its relaxed geometry. The functional is PBE.

Output
- DOS at the Fermi energy (states/eV/atom) = 1.44
- total moment (μB/f.u.) = 0.00
- space-group type = C2/m, No. 12
- calculated formation energy (eV/atom) = 0.0317

abc: 6.157 6.157 11.712
angles: 95.06 95.06 120.06
Atoms (fractional coordinates):
1 Mg 0.000 0.000 0.000
2 Dy 0.919 0.587 0.755
3 Dy 0.252 0.252 0.754
4 Dy 0.413 0.081 0.245
5 Dy 0.587 0.919 0.755
6 Dy 0.081 0.413 0.245
7 Dy 0.748 0.748 0.246
8 Ho 0.334 0.666 0.000
9 Ho 0.666 0.334 0.000
10 Pm 0.834 0.166 0.500
11 Pm 0.166 0.834 0.500
12 Pm 0.500 0.500 0.500

***

This record from Alexandria describes crystalline TbCe2Ho at its relaxed geometry. The functional is PBE.

Output
- DOS at the Fermi energy (states/eV/atom) = 3.87
- relative energy among the computed polymorphs (eV/atom) = 0.144
- total moment (μB/f.u.) = 1.82
- space-group type = Fm-3m, No. 225
- calculated formation energy (eV/atom) = 0.2326

abc: 5.629 5.629 5.629
angles: 60.00 60.00 60.00
Atoms (fractional coordinates):
1 Ce 0.250 0.250 0.250
2 Ce 0.750 0.750 0.750
3 Ho 0.500 0.500 0.500
4 Tb 0.000 0.000 0.000

***

This record from Alexandria describes crystalline Ba4SrAu at its relaxed geometry. The functional is PBE.

Output
- DOS at the Fermi energy (states/eV/atom) = 1.23
- relative energy among the computed polymorphs (eV/atom) = 0.000
- total moment (μB/f.u.) = 0.00
- space-group type = P2_1/m, No. 11
- calculated formation energy (eV/atom) = -0.2141

abc: 7.119 8.609 10.687
angles: 90.00 101.43 90.00
Atoms (fractional coordinates):
1 Sr 0.273 0.750 0.564
2 Sr 0.727 0.250 0.436
3 Ba 0.149 0.014 0.211
4 Ba 0.709 0.750 0.330
5 Ba 0.851 0.514 0.789
6 Ba 0.851 0.986 0.789
7 Ba 0.392 0.750 0.949
8 Ba 0.291 0.250 0.670
9 Ba 0.149 0.486 0.211
10 Ba 0.608 0.250 0.051
11 Au 0.867 0.750 0.043
12 Au 0.133 0.250 0.957

***

This record from Alexandria describes crystalline ScRe2 at its relaxed geometry. The functional is PBE.

Output
- DOS at the Fermi energy (states/eV/atom) = 0.47
- total moment (μB/f.u.) = 0.00
- space-group type = I4/mmm, No. 139
- calculated formation energy (eV/atom) = -0.1625

abc: 5.531 5.531 5.531
angles: 147.21 147.21 47.06
Atoms (fractional coordinates):
1 Re 0.012 0.012 0.000
2 Re 0.655 0.655 0.000
3 Sc 0.333 0.333 0.000

***

This record from Alexandria describes crystalline Sr3ScHg12 at its relaxed geometry. The functional is PBE.

Output
- DOS at the Fermi energy (states/eV/atom) = 0.70
- total moment (μB/f.u.) = 0.00
- space-group type = P4/mmm, No. 123
- calculated formation energy (eV/atom) = -0.3303

abc: 4.798 4.798 18.801
angles: 90.00 90.00 90.00
Atoms (fractional coordinates):
1 Hg 0.500 0.500 0.765
2 Hg 0.000 0.500 0.631
3 Hg 0.000 0.500 0.369
4 Hg 0.500 0.500 0.500
5 Hg 0.500 0.500 0.000
6 Hg 0.500 0.000 0.892
7 Hg 0.500 0.000 0.369
8 Hg 0.000 0.500 0.108
9 Hg 0.500 0.500 0.235
10 Hg 0.500 0.000 0.108
11 Hg 0.500 0.000 0.631
12 Hg 0.000 0.500 0.892
13 Sr 0.000 0.000 0.500
14 Sr 0.000 0.000 0.238
15 Sr 0.000 0.000 0.762
16 Sc 0.000 0.000 0.000

***

This record from Alexandria describes crystalline Al2InAgCl8 at its relaxed geometry. The functional is PBE.

Output
- DOS at the Fermi energy (states/eV/atom) = 0.00
- total moment (μB/f.u.) = 0.00
- space-group type = P-3, No. 147
- energy relative to the elements, uncorrected (eV/atom) = -1.26

abc: 6.496 6.496 9.507
angles: 90.00 90.00 120.00
Atoms (fractional coordinates):
1 Cl 0.333 0.667 0.982
2 Cl 0.022 0.344 0.686
3 Cl 0.656 0.678 0.686
4 Cl 0.978 0.656 0.314
5 Cl 0.667 0.333 0.018
6 Cl 0.322 0.978 0.686
7 Cl 0.344 0.322 0.314
8 Cl 0.678 0.022 0.314
9 Al 0.667 0.333 0.245
10 Al 0.333 0.667 0.755
11 In 0.000 0.000 0.000
12 Ag 0.000 0.000 0.500

***

This record from Alexandria describes crystalline Ce3PuAg at its relaxed geometry. The functional is PBE.

Output
- DOS at the Fermi energy (states/eV/atom) = 1.58
- total moment (μB/f.u.) = 3.63
- space-group type = C2/c, No. 15
- calculated formation energy (eV/atom) = -0.0411

abc: 7.454 7.454 12.520
angles: 83.83 83.83 48.32
Atoms (fractional coordinates):
1 Pu 0.000 0.500 0.500
2 Pu 0.500 0.000 0.000
3 Pu 0.177 0.823 0.750
4 Pu 0.823 0.177 0.250
5 Ce 0.881 0.700 0.320
6 Ce 0.748 0.570 0.065
7 Ce 0.570 0.748 0.565
8 Ce 0.220 0.959 0.948
9 Ce 0.430 0.252 0.435
10 Ce 0.959 0.220 0.448
11 Ce 0.700 0.881 0.820
12 Ce 0.041 0.780 0.552
13 Ce 0.300 0.119 0.180
14 Ce 0.119 0.300 0.680
15 Ce 0.780 0.041 0.052
16 Ce 0.252 0.430 0.935
17 Ag 0.702 0.414 0.842
18 Ag 0.298 0.586 0.158
19 Ag 0.586 0.298 0.658
20 Ag 0.414 0.702 0.342

***

This record from Alexandria describes crystalline CaGaNi2 at its relaxed geometry. The functional is PBE.

Output
- DOS at the Fermi energy (states/eV/atom) = 0.44
- total moment (μB/f.u.) = 0.00
- space-group type = I-42d, No. 122
- calculated formation energy (eV/atom) = -0.0689

abc: 4.538 4.538 8.683
angles: 74.85 74.85 90.00
Atoms (fractional coordinates):
1 Ga 0.750 0.250 0.500
2 Ga 0.000 0.000 0.000
3 Ni 0.919 0.625 0.250
4 Ni 0.875 0.081 0.750
5 Ni 0.375 0.169 0.750
6 Ni 0.831 0.125 0.250
7 Ca 0.250 0.750 0.500
8 Ca 0.500 0.500 0.000

***

This record from Alexandria describes crystalline Rb3Tm3VS8 at its relaxed geometry. The functional is PBE.

Output
- DOS at the Fermi energy (states/eV/atom) = 0.41
- total moment (μB/f.u.) = 1.00
- space-group type = R-3m, No. 166
- energy relative to the elements, uncorrected (eV/atom) = -1.59

abc: 7.750 7.751 9.023
angles: 115.45 90.00 119.99
Atoms (fractional coordinates):
1 V 0.000 0.000 0.500
2 S 0.246 0.035 0.323
3 S 0.754 0.965 0.677
4 S 0.788 0.576 0.323
5 S 0.270 0.539 0.309
6 S 0.212 0.424 0.677
7 S 0.212 0.965 0.677
8 S 0.788 0.035 0.323
9 S 0.730 0.461 0.691
10 Rb 0.000 0.500 0.000
11 Rb 0.000 0.000 0.000
12 Rb 0.500 0.500 0.000
13 Tm 0.000 0.500 0.500
14 Tm 0.500 0.500 0.500
15 Tm 0.500 0.000 0.500

***

This record from Alexandria describes crystalline K2P2Ru at its relaxed geometry. The functional is PBE.

Output
- DOS at the Fermi energy (states/eV/atom) = 0.00
- total moment (μB/f.u.) = 0.00
- space-group type = P4/mbm, No. 127
- calculated formation energy (eV/atom) = -0.2649

abc: 6.147 6.147 5.487
angles: 90.00 90.00 90.00
Atoms (fractional coordinates):
1 K 0.180 0.680 0.500
2 K 0.820 0.320 0.500
3 K 0.320 0.180 0.500
4 K 0.680 0.820 0.500
5 P 0.634 0.134 0.000
6 P 0.366 0.866 0.000
7 P 0.866 0.634 0.000
8 P 0.134 0.366 0.000
9 Ru 0.000 0.000 0.000
10 Ru 0.500 0.500 0.000

***

This record from Alexandria describes crystalline Tl2CoMo at its relaxed geometry. The functional is PBE.

Output
- DOS at the Fermi energy (states/eV/atom) = 0.65
- relative energy among the computed polymorphs (eV/atom) = 0.020
- total moment (μB/f.u.) = 0.00
- space-group type = P4mm, No. 99
- calculated formation energy (eV/atom) = 0.4651

abc: 3.064 3.064 8.516
angles: 90.00 90.00 90.00
Atoms (fractional coordinates):
1 Tl 0.500 0.500 0.300
2 Tl 0.000 0.000 0.956
3 Mo 0.500 0.500 0.692
4 Co 0.000 0.000 0.551

***

This record from Alexandria describes crystalline Ca2Re at its relaxed geometry. The functional is PBE.

Output
- DOS at the Fermi energy (states/eV/atom) = 0.49
- relative energy among the computed polymorphs (eV/atom) = 0.344
- total moment (μB/f.u.) = 0.00
- space-group type = P-3m1, No. 164
- calculated formation energy (eV/atom) = 0.7401

abc: 5.219 5.219 2.798
angles: 90.00 90.00 120.00
Atoms (fractional coordinates):
1 Ca 0.333 0.667 0.827
2 Ca 0.000 0.000 0.840
3 Re 0.667 0.333 0.333

***

This record from Alexandria describes crystalline Zr2AlPb at its relaxed geometry. The functional is PBE.

Output
- DOS at the Fermi energy (states/eV/atom) = 0.74
- total moment (μB/f.u.) = 0.00
- space-group type = I4/mmm, No. 139
- calculated formation energy (eV/atom) = -0.2409

abc: 5.390 5.390 5.390
angles: 131.35 131.35 71.26
Atoms (fractional coordinates):
1 Zr 0.500 0.500 0.000
2 Zr 0.000 0.000 0.000
3 Pb 0.750 0.250 0.500
4 Al 0.250 0.750 0.500

***

This record from Alexandria describes crystalline Nb2VZnRh at its relaxed geometry. The functional is PBE.

Output
- DOS at the Fermi energy (states/eV/atom) = 2.07
- relative energy among the computed polymorphs (eV/atom) = 0.320
- total moment (μB/f.u.) = 0.00
- space-group type = P4/mmm, No. 123
- calculated formation energy (eV/atom) = 1.1436

abc: 4.791 4.570 4.791
angles: 90.00 90.00 90.00
Atoms (fractional coordinates):
1 Nb 0.500 0.000 0.000
2 Nb 0.000 0.000 0.500
3 Zn 0.000 0.500 0.000
4 Rh 0.000 0.000 0.000
5 V 0.500 0.500 0.500

***

This record from Alexandria describes crystalline TcHgMo2 at its relaxed geometry. The functional is PBE.

Output
- DOS at the Fermi energy (states/eV/atom) = 1.01
- total moment (μB/f.u.) = 0.00
- space-group type = I-42d, No. 122
- calculated formation energy (eV/atom) = 0.8329

abc: 7.349 7.349 5.872
angles: 51.26 51.26 90.00
Atoms (fractional coordinates):
1 Tc 0.250 0.750 0.500
2 Tc 0.500 0.500 0.000
3 Hg 0.750 0.250 0.500
4 Hg 0.000 0.000 0.000
5 Mo 0.173 0.625 0.250
6 Mo 0.375 0.423 0.750
7 Mo 0.875 0.827 0.750
8 Mo 0.577 0.125 0.250

***

This record from Alexandria describes crystalline SiTeBr2 at its relaxed geometry. The functional is PBE.

Output
- DOS at the Fermi energy (states/eV/atom) = 0.47
- relative energy among the computed polymorphs (eV/atom) = 0.485
- total moment (μB/f.u.) = 0.00
- space-group type = Pmmm, No. 47
- energy relative to the elements, uncorrected (eV/atom) = 0.35

abc: 3.499 6.142 4.823
angles: 90.00 90.00 90.00
Atoms (fractional coordinates):
1 Si 0.500 0.000 0.500
2 Br 0.000 0.000 0.000
3 Br 0.500 0.500 0.000
4 Te 0.000 0.500 0.500

***

This record from Alexandria describes crystalline VCrPbAuBr at its relaxed geometry. The functional is PBE.

Output
- DOS at the Fermi energy (states/eV/atom) = 0.88
- relative energy among the computed polymorphs (eV/atom) = 0.047
- total moment (μB/f.u.) = 1.12
- space-group type = Amm2, No. 38
- energy relative to the elements, uncorrected (eV/atom) = 0.08

abc: 3.683 3.276 19.013
angles: 90.00 90.00 90.00
Atoms (fractional coordinates):
1 Br 0.500 0.500 0.624
2 Br 0.500 0.000 0.124
3 V 0.500 0.500 0.023
4 V 0.500 0.000 0.523
5 Cr 0.500 0.500 0.887
6 Cr 0.500 0.000 0.387
7 Au 0.000 0.500 0.454
8 Au 0.000 0.000 0.954
9 Pb 0.000 0.000 0.789
10 Pb 0.000 0.500 0.289